# 1
Material: Dy6Te3As2Pt
Method: DFT, GGA-PBE
State: optimized geometry

a = 18.672 Å, b = 4.176 Å, c = 8.620 Å
α = 90.00°, β = 104.30°, γ = 90.00°
Space group C2/m (No. 12)
One atom of each set of equivalent atoms:
Dy 0.006 0.000 0.223 (multiplicity 4)
Dy 0.159 0.500 0.099 (multiplicity 4)
Dy 0.173 0.500 0.566 (multiplicity 4)
Te 0.000 0.500 0.500 (multiplicity 2)
Te 0.169 0.000 0.832 (multiplicity 4)
As 0.167 0.000 0.336 (multiplicity 4)
Pt 0.000 0.500 0.000 (multiplicity 2)

## Properties
Volume in Å³/f.u.: 325.7
Magnetization in μB/f.u.: 0.00
Formation energy from raw total energies in eV/atom: -1.408
Crystal system: monoclinic
Uncorrected energy in eV per atom: -5.773

=====

# 2
Material: Te2PdI
Method: DFT, GGA-PBE
State: optimized geometry

a = 7.423 Å, b = 7.423 Å, c = 7.423 Å
α = 90.00°, β = 90.00°, γ = 90.00°
Space group Fm-3m (No. 225)
One atom of each set of equivalent atoms:
Te 0.250 0.250 0.250 (multiplicity 8)
Pd 0.000 0.000 0.000 (multiplicity 4)
I 0.000 0.000 0.500 (multiplicity 4)

## Properties
Volume in Å³/f.u.: 102.3
Magnetization in μB/f.u.: 0.00
Formation energy from raw total energies in eV/atom: 0.501
Crystal system: cubic
Uncorrected energy in eV per atom: -2.756

=====

Q: What is the formation energy from raw total energies in the first record?
A: -1.408 eV/atom

=====

Q: Among the records above, which one has the lowest volume?
A: Te2PdI

=====

Q: Which of these has the lowest volume?
A: Te2PdI